A relaxed structure of PmMgCdBi, computed with PBE.

Summary:
Total DFT energy (no corrections) = -3.0565 eV per atom

Geometry as CIF:
```
data_PmMgCdBi
_space_group_name_H-M_alt 'F -4 3 m'
_space_group_IT_number 216
_space_group_name_Hall 'F -4 2 3'
_cell_length_a 7.604
_cell_length_b 7.604
_cell_length_c 7.604
_cell_angle_alpha 90.00
_cell_angle_beta 90.00
_cell_angle_gamma 90.00
loop_
_atom_site_label
_atom_site_type_symbol
_atom_site_fract_x
_atom_site_fract_y
_atom_site_fract_z
_atom_site_occupancy
Pm1 Pm 0.000 0.000 0.000 1
Mg1 Mg 0.000 0.000 0.500 1
Cd1 Cd 0.250 0.250 0.250 1
Bi1 Bi 0.250 0.250 0.750 1
```

A relaxed structure of RbMgCdBi, computed with PBE.

Summary:
Total DFT energy (no corrections) = -1.9596 eV per atom

Geometry as CIF:
```
data_RbMgCdBi
_space_group_name_H-M_alt 'P 4 m m'
_space_group_IT_number 99
_cell_length_a 3.782
_cell_length_b 3.782
_cell_length_c 8.849
_cell_angle_alpha 90.00
_cell_angle_beta 90.00
_cell_angle_gamma 90.00
loop_
_space_group_symop_operation_xyz
'x,y,z'
'-y,x,z'
'-x,-y,z'
'y,-x,z'
'-x,y,z'
'y,x,z'
'x,-y,z'
'-y,-x,z'
loop_
_atom_site_label
_atom_site_type_symbol
_atom_site_fract_x
_atom_site_fract_y
_atom_site_fract_z
_atom_site_occupancy
Rb1 Rb 0.000 0.000 0.000 1
Mg1 Mg 0.000 0.000 0.524 1
Cd1 Cd 0.500 0.500 0.698 1
Bi1 Bi 0.500 0.500 0.318 1
```

A relaxed structure of RbMgCd2Bi2, computed with PBE.

Summary:
Total DFT energy (no corrections) = -2.2038 eV per atom

Geometry as CIF:
```
data_RbMgCd2Bi2
_space_group_name_H-M_alt 'P -3 m 1'
_space_group_IT_number 164
_space_group_name_Hall '-P 3 2"'
_cell_length_a 5.0909
_cell_length_b 5.0909
_cell_length_c 8.9432
_cell_angle_alpha 90.00
_cell_angle_beta 90.00
_cell_angle_gamma 120.00
loop_
_atom_site_label
_atom_site_type_symbol
_atom_site_fract_x
_atom_site_fract_y
_atom_site_fract_z
_atom_site_occupancy
Rb1 Rb 0.0000 0.0000 0.0000 1
Mg1 Mg 0.0000 0.0000 0.5000 1
Cd1 Cd 0.3333 0.6667 0.3619 1
Bi1 Bi 0.3333 0.6667 0.7203 1
```

no.,D(E_F) (states/eV per cell),energy of formation from the pure elements (eV/atom)
1,10.1,-0.27
2,1.7,-0.12
3,1.4,-0.18